1.
The following is a DFT calculation (PBE) of a relaxed SrTl2ZnSb2 crystal.

Calculated total energy, eV per atom: -3.013
Formation energy (no corrections), eV per atom: -0.36
DOS(E_F), states/eV/atom: 0.104

Cell lengths 4.752, 10.092, 7.862 Å; angles 90.00, 90.00, 90.00 degrees
Positions (direct):
Sr 0.000 0.045 0.000
Sr 0.000 0.955 0.500
Tl 0.000 0.350 0.328
Tl 0.000 0.650 0.828
Tl 0.500 0.391 0.998
Tl 0.500 0.609 0.498
Zn 0.500 0.152 0.658
Zn 0.500 0.848 0.158
Sb 0.000 0.290 0.722
Sb 0.000 0.710 0.222
Sb 0.500 0.118 0.283
Sb 0.500 0.882 0.783

2.
The following is a DFT calculation (PBE) of a relaxed GeSe2O crystal.

Calculated total energy, eV per atom: -3.860
Formation energy (no corrections), eV per atom: 0.28
DOS(E_F), states/eV/atom: 0.413

Cell lengths 6.028, 6.028, 6.028 Å; angles 117.57, 117.57, 94.26 degrees
Positions (direct):
Ge 0.000 0.000 0.000
Ge 0.750 0.250 0.500
Se 0.154 0.625 0.029
Se 0.375 0.404 0.529
Se 0.596 0.125 0.971
Se 0.875 0.846 0.471
O 0.250 0.750 0.500
O 0.500 0.500 0.000

3.
The following is a DFT calculation (PBE) of a relaxed NaPr2Cd6 crystal.

Calculated total energy, eV per atom: -2.081
Energy relative to the elements, eV per atom: -0.2619
DOS(E_F), states/eV/atom: 0.639

Cell lengths 8.862, 8.862, 3.434 Å; angles 90.00, 90.00, 120.00 degrees
Positions (direct):
Na 0.000 0.000 0.000
Pr 0.333 0.667 0.000
Pr 0.667 0.333 0.000
Cd 0.000 0.330 0.500
Cd 0.000 0.670 0.500
Cd 0.330 0.000 0.500
Cd 0.330 0.330 0.500
Cd 0.670 0.000 0.500
Cd 0.670 0.670 0.500

4.
The following is a DFT calculation (PBE) of a relaxed CaScAl crystal.

Calculated total energy, eV per atom: -4.183
Energy relative to the elements, eV per atom: -0.1576
DOS(E_F), states/eV/atom: 0.387

Cell lengths 6.501, 5.015, 9.264 Å; angles 90.00, 90.00, 90.00 degrees
Positions (direct):
Ca 0.179 0.250 0.070
Ca 0.321 0.750 0.570
Ca 0.679 0.250 0.430
Ca 0.821 0.750 0.930
Sc 0.032 0.250 0.702
Sc 0.468 0.750 0.202
Sc 0.532 0.250 0.798
Sc 0.968 0.750 0.298
Al 0.193 0.250 0.396
Al 0.307 0.750 0.896
Al 0.693 0.250 0.104
Al 0.807 0.750 0.604

5.
The following is a DFT calculation (PBE) of a relaxed HfGe2F crystal.

Calculated total energy, eV per atom: -5.594
Formation energy (no corrections), eV per atom: -0.33
DOS(E_F), states/eV/atom: 0.724

Cell lengths 4.631, 4.631, 4.631 Å; angles 60.00, 60.00, 60.00 degrees
Positions (direct):
Hf 0.000 0.000 0.000
Ge 0.250 0.250 0.250
Ge 0.750 0.750 0.750
F 0.500 0.500 0.500

6.
The following is a DFT calculation (PBE) of a relaxed CaBN2F crystal.

Calculated total energy, eV per atom: -4.067
Formation energy (no corrections), eV per atom: 1.37
DOS(E_F), states/eV/atom: 0.580

Cell lengths 4.791, 4.791, 4.251 Å; angles 90.00, 90.00, 90.00 degrees
Positions (direct):
Ca 0.000 0.000 0.000
B 0.500 0.500 0.500
N 0.000 0.500 0.000
N 0.500 0.000 0.000
F 0.000 0.000 0.500

7.
The following is a DFT calculation (PBE) of a relaxed MnBeTcPd crystal.

Calculated total energy, eV per atom: -7.234
Energy relative to the elements, eV per atom: -0.1208
DOS(E_F), states/eV/atom: 0.159

Cell lengths 4.146, 4.146, 4.146 Å; angles 60.00, 60.00, 60.00 degrees
Positions (direct):
Mn 0.000 0.000 0.000
Be 0.500 0.500 0.500
Tc 0.750 0.750 0.750
Pd 0.250 0.250 0.250

8.
The following is a DFT calculation (PBE) of a relaxed LaAlCu11 crystal.

Calculated total energy, eV per atom: -4.254
Energy relative to the elements, eV per atom: -0.1206
DOS(E_F), states/eV/atom: 0.279

Cell lengths 6.460, 6.460, 6.684 Å; angles 97.74, 97.74, 135.52 degrees
Positions (direct):
La 0.000 0.000 0.000
Al 0.500 0.500 0.500
Cu 0.000 0.000 0.500
Cu 0.000 0.500 0.000
Cu 0.009 0.650 0.646
Cu 0.273 0.503 0.771
Cu 0.350 0.991 0.354
Cu 0.497 0.727 0.229
Cu 0.500 0.000 0.000
Cu 0.503 0.273 0.771
Cu 0.650 0.009 0.646
Cu 0.727 0.497 0.229
Cu 0.991 0.350 0.354